DFT (PBE-GGA) results for crystalline Hg3SbS at its relaxed geometry.

Cell: 5.5581 5.5581 5.5581 Å, 90.00 90.00 90.00°
Closest atoms and distances in Å follow each position.
Element x y z (fractional)
Hg  0.0000  0.0000  0.5000  2 Sb 2.78
Hg  0.0000  0.5000  0.0000  2 Sb 2.78
Hg  0.5000  0.0000  0.0000  2 Sb 2.78
Sb  0.0000  0.0000  0.0000  6 Hg 2.78
S  0.5000  0.5000  0.5000  12 Hg 3.93

Summary:
Total DFT energy (no corrections) in Ha/atom: -0.0506
Symmetry: Pm-3m


DFT (PBE-GGA) results for crystalline Hg2Sb2S at its relaxed geometry.

Cell: 7.6636 7.6636 4.7644 Å, 90.00 90.00 90.00°
Closest atoms and distances in Å follow each position.
Element x y z (fractional)
Hg  0.1349  0.3651  0.0000  2 Sb 2.89, 1 Hg 2.92
Hg  0.3651  0.8651  0.0000  2 Sb 2.89, 1 Hg 2.92
Hg  0.6349  0.1349  0.0000  2 Sb 2.89, 1 Hg 2.92
Hg  0.8651  0.6349  0.0000  2 Sb 2.89, 1 Hg 2.92
Sb  0.2141  0.7141  0.5000  2 S 2.74, 2 Hg 2.89
Sb  0.2859  0.2141  0.5000  2 S 2.74, 2 Hg 2.89
Sb  0.7141  0.7859  0.5000  2 S 2.74, 2 Hg 2.89
Sb  0.7859  0.2859  0.5000  2 S 2.74, 2 Hg 2.89
S  0.0000  0.0000  0.5000  4 Sb 2.74
S  0.5000  0.5000  0.5000  4 Sb 2.74

Summary:
Total DFT energy (no corrections) in Ha/atom: -0.0901
Symmetry: P4/mbm


DFT (PBE-GGA) results for crystalline HgSb2S3 at its relaxed geometry.

Cell: 9.4931 9.4931 5.7689 Å, 90.00 90.00 103.73°
Closest atoms and distances in Å follow each position.
Element x y z (fractional)
Hg  0.0569  0.9431  0.5000  2 Hg 3.35, 2 S 3.67-3.69
Hg  0.9431  0.0569  0.0000  2 Hg 3.35, 2 S 3.67-3.69
Sb  0.1418  0.5236  0.9909  3 S 2.44-2.54
Sb  0.4764  0.8582  0.9909  3 S 2.44-2.54
Sb  0.5236  0.1418  0.4909  3 S 2.44-2.54
Sb  0.8582  0.4764  0.4909  3 S 2.44-2.54
S  0.1112  0.4726  0.4217  2 Sb 2.44-2.54
S  0.2098  0.7902  0.9972  2 Sb 2.46
S  0.4726  0.1112  0.9217  2 Sb 2.44-2.54
S  0.5274  0.8888  0.4217  2 Sb 2.44-2.54
S  0.7902  0.2098  0.4972  2 Sb 2.46
S  0.8888  0.5274  0.9217  2 Sb 2.44-2.54

Summary:
Total DFT energy (no corrections) in Ha/atom: -0.1329
Symmetry: Cmc2_1


DFT (PBE-GGA) results for crystalline HgSbS6 at its relaxed geometry.

Cell: 5.0565 6.8222 7.4075 Å, 63.09 70.84 79.67°
Closest atoms and distances in Å follow each position.
Element x y z (fractional)
Hg  0.0000  0.0000  0.0000  2 S 2.37
Sb  0.5000  0.5000  0.5000  6 S 2.52-2.67
S  0.0168  0.6852  0.6418  1 S 1.97
S  0.2795  0.5326  0.2052  1 S 1.97
S  0.4159  0.0946  0.7168  1 Hg 2.37, 1 Sb 2.52
S  0.5841  0.9054  0.2832  1 Hg 2.37, 1 Sb 2.52
S  0.7205  0.4674  0.7948  1 S 1.97
S  0.9832  0.3148  0.3582  1 S 1.97

Summary:
Total DFT energy (no corrections) in Ha/atom: -0.1315
Symmetry: P-1